The following is a DFT calculation (PBE) of Sn3PbI after structural relaxation.

Output
ΔE_f (raw), meV per atom: 599
Excess energy over the best structure of this formula in the dataset, kJ/mol of formula units: 0

Cell and atoms, written as CIF:
```
data_Sn3PbI
_symmetry_space_group_name_H-M 'P m -3 m'
_symmetry_Int_Tables_number 221
_symmetry_space_group_name_Hall '-P 4 2 3'
_cell_length_a 5.959
_cell_length_b 5.959
_cell_length_c 5.959
_cell_angle_alpha 90.00
_cell_angle_beta 90.00
_cell_angle_gamma 90.00
loop_
_atom_site_label
_atom_site_type_symbol
_atom_site_fract_x
_atom_site_fract_y
_atom_site_fract_z
Sn1 Sn 0.000 0.000 0.500
Pb1 Pb 0.000 0.000 0.000
I1 I 0.500 0.500 0.500
```

***

The following is a DFT calculation (PBE) of NaPmNp2Te4 after structural relaxation.

Output
ΔE_f (raw), meV per atom: -885

Cell and atoms, written as CIF:
```
data_NaPmNp2Te4
_symmetry_space_group_name_H-M 'P 1 2/m 1'
_symmetry_Int_Tables_number 10
_cell_length_a 7.709
_cell_length_b 4.426
_cell_length_c 7.798
_cell_angle_alpha 90.00
_cell_angle_beta 109.31
_cell_angle_gamma 90.00
loop_
_symmetry_equiv_pos_as_xyz
'x,y,z'
'-x,-y,-z'
'-x,y,-z'
'x,-y,z'
loop_
_atom_site_label
_atom_site_type_symbol
_atom_site_fract_x
_atom_site_fract_y
_atom_site_fract_z
Na1 Na 0.000 0.000 0.000
Pm1 Pm 0.000 0.500 0.500
Np1 Np 0.500 0.000 0.500
Np2 Np 0.500 0.500 0.000
Te1 Te 0.253 0.000 0.753
Te2 Te 0.253 0.500 0.253
```

***

The following is a DFT calculation (PBE) of LiPr3Ni after structural relaxation.

Output
Excess energy over the best structure of this formula in the dataset, kJ/mol of formula units: 0
Formation energy from the elements, eV per atom: -0.025

Cell and atoms, written as CIF:
```
data_LiPr3Ni
_symmetry_space_group_name_H-M 'P 1 21/c 1'
_symmetry_Int_Tables_number 14
_cell_length_a 9.968
_cell_length_b 5.943
_cell_length_c 11.017
_cell_angle_alpha 90.00
_cell_angle_beta 119.14
_cell_angle_gamma 90.00
loop_
_symmetry_equiv_pos_as_xyz
'x,y,z'
'-x,-y,-z'
'-x,y+1/2,-z+1/2'
'x,-y+1/2,z+1/2'
loop_
_atom_site_label
_atom_site_type_symbol
_atom_site_fract_x
_atom_site_fract_y
_atom_site_fract_z
Li1 Li 0.006 0.170 0.103
Pr1 Pr 0.181 0.669 0.228
Pr2 Pr 0.223 0.160 0.453
Pr3 Pr 0.471 0.652 0.633
Ni1 Ni 0.455 0.624 0.895
```

***

The following is a DFT calculation (PBE) of NbCu2Br after structural relaxation.

Output
ΔE_f (raw), meV per atom: 571
Excess energy over the best structure of this formula in the dataset, kJ/mol of formula units: 0

Cell and atoms, written as CIF:
```
data_NbCu2Br
_symmetry_space_group_name_H-M 'I -4 2 d'
_symmetry_Int_Tables_number 122
_symmetry_space_group_name_Hall 'I -4 2bw'
_cell_length_a 7.314
_cell_length_b 7.314
_cell_length_c 5.109
_cell_angle_alpha 90.00
_cell_angle_beta 90.00
_cell_angle_gamma 90.00
loop_
_atom_site_label
_atom_site_type_symbol
_atom_site_fract_x
_atom_site_fract_y
_atom_site_fract_z
Nb1 Nb 0.000 0.000 0.000
Cu1 Cu 0.244 0.250 0.625
Br1 Br 0.000 0.000 0.500
```